Computed, not measured: an optimized crystal structure of MgIrN3 at the GGA-PBEsol level of DFT.

Calculated values
For the formation energy from raw total energies, the calculation gives 11.0 eV/f.u. For the total energy, the calculation gives -26.1 eV for the cell shown.

Unit cell a=3.7813 b=3.7813 c=3.7813 alpha=90.00 beta=90.00 gamma=90.00
With the nearest neighbours (Å) after each atom.
Space group Pm-3m (No. 221)
Symmetry-distinct sites (fractional):
Mg (0.0000, 0.0000, 0.0000) (multiplicity 1)  6 N 1.89
Ir (0.5000, 0.5000, 0.5000) (multiplicity 1)  12 N 2.67
N (0.0000, 0.0000, 0.5000) (multiplicity 3)  2 Mg 1.89